A relaxed KBaNO2 crystal. Source: Alexandria via LeMat-Bulk, functional PBE.

POSCAR file:
```
KBaNO2
1.0
4.971 0.000 0.000
0.000 4.971 0.000
0.000 0.000 5.389
Ba N O K
1 1 2 1
direct
0.000 0.000 0.000
0.000 0.000 0.500
0.000 0.500 0.000
0.500 0.000 0.000
0.500 0.500 0.500
```

* energy: -4.348 eV/atom
* Fermi-level density of states: 2.00 states/eV/f.u.
* formation energy (no corrections): -2.20 kcal/mol of atoms
* total moment: 4.000 μB/f.u.